No. 1
The following is a DFT calculation (meta-GGA SCAN) of LiCeGe2 at its PBEsol-relaxed geometry.

crystal system	orthorhombic
SG	Pnma (62)
total moment	1.03	μB per formula unit

Unit cell a=7.695 b=3.920 c=10.451 alpha=90.00 beta=90.00 gamma=90.00
Atoms (fractional coordinates):
Li 0.014 0.250 0.104
Li 0.486 0.750 0.604
Li 0.514 0.250 0.396
Li 0.986 0.750 0.896
Ce 0.137 0.750 0.365
Ce 0.363 0.250 0.865
Ce 0.637 0.750 0.135
Ce 0.863 0.250 0.635
Ge 0.156 0.750 0.690
Ge 0.232 0.750 0.064
Ge 0.268 0.250 0.564
Ge 0.344 0.250 0.190
Ge 0.656 0.750 0.810
Ge 0.732 0.750 0.436
Ge 0.768 0.250 0.936
Ge 0.844 0.250 0.310

No. 2
The following is a DFT calculation (meta-GGA SCAN) of BaPbW3 at its PBEsol-relaxed geometry.

crystal system	cubic
SG	Pm-3m (221)
excess energy over the best structure of this formula in the dataset	1085	meV/atom
total moment	0.00	μB per formula unit

Unit cell a=5.015 b=5.015 c=5.015 alpha=90.00 beta=90.00 gamma=90.00
Atoms (fractional coordinates):
Ba 0.000 0.000 0.000
Pb 0.500 0.500 0.500
W 0.000 0.000 0.500
W 0.000 0.500 0.000
W 0.500 0.000 0.000

No. 3
The following is a DFT calculation (meta-GGA SCAN) of InNiP4 at its PBEsol-relaxed geometry.

crystal system	cubic
SG	F-43m (216)
total moment	0.00	μB per formula unit

Unit cell a=5.079 b=5.079 c=5.079 alpha=60.00 beta=60.00 gamma=60.00
Atoms (fractional coordinates):
In 0.000 0.000 0.000
Ni 0.250 0.250 0.250
P 0.138 0.621 0.621
P 0.621 0.138 0.621
P 0.621 0.621 0.138
P 0.621 0.621 0.621

No. 4
The following is a DFT calculation (meta-GGA SCAN) of La2Al at its PBEsol-relaxed geometry.

crystal system	hexagonal
SG	P-62m (189)
total moment	0.00	μB per formula unit

Unit cell a=8.277 b=8.277 c=4.524 alpha=90.00 beta=90.00 gamma=120.00
Atoms (fractional coordinates):
La 0.000 0.411 0.000
La 0.000 0.731 0.500
La 0.269 0.269 0.500
La 0.411 0.000 0.000
La 0.589 0.589 0.000
La 0.731 0.000 0.500
Al 0.000 0.000 0.000
Al 0.333 0.667 0.500
Al 0.667 0.333 0.500

No. 5
The following is a DFT calculation (meta-GGA SCAN) of Nb2Se3 at its PBEsol-relaxed geometry.

crystal system	monoclinic
SG	P2_1/m (11)
total moment	0.00	μB per formula unit

Unit cell a=6.524 b=3.380 c=9.131 alpha=90.00 beta=103.60 gamma=90.00
Atoms (fractional coordinates):
Nb 0.113 0.250 0.136
Nb 0.314 0.250 0.502
Nb 0.686 0.750 0.498
Nb 0.887 0.750 0.864
Se 0.021 0.750 0.343
Se 0.276 0.750 0.984
Se 0.480 0.750 0.706
Se 0.520 0.250 0.294
Se 0.724 0.250 0.016
Se 0.979 0.250 0.657

No. 6
The following is a DFT calculation (meta-GGA SCAN) of K2ScTa at its PBEsol-relaxed geometry.

crystal system	tetragonal
SG	P4mm (99)
excess energy over the best structure of this formula in the dataset	0	meV/atom
total moment	0.22	μB per formula unit

Unit cell a=3.169 b=3.169 c=12.609 alpha=90.00 beta=90.00 gamma=90.00
Atoms (fractional coordinates):
K 0.000 0.000 0.000
K 0.500 0.500 0.333
Sc 0.000 0.000 0.607
Ta 0.500 0.500 0.756

No. 7
The following is a DFT calculation (meta-GGA SCAN) of YBe3Fe at its PBEsol-relaxed geometry.

crystal system	cubic
SG	Pm-3m (221)
total moment	0.00	μB per formula unit

Unit cell a=4.052 b=4.052 c=4.052 alpha=90.00 beta=90.00 gamma=90.00
Atoms (fractional coordinates):
Y 0.000 0.000 0.000
Be 0.000 0.500 0.500
Be 0.500 0.000 0.500
Be 0.500 0.500 0.000
Fe 0.500 0.500 0.500

No. 8
The following is a DFT calculation (meta-GGA SCAN) of Tl3TePd at its PBEsol-relaxed geometry.

crystal system	cubic
SG	Pm-3m (221)
total moment	0.00	μB per formula unit

Unit cell a=5.264 b=5.264 c=5.264 alpha=90.00 beta=90.00 gamma=90.00
Atoms (fractional coordinates):
Tl 0.000 0.000 0.500
Tl 0.000 0.500 0.000
Tl 0.500 0.000 0.000
Te 0.500 0.500 0.500
Pd 0.000 0.000 0.000

No. 9
The following is a DFT calculation (meta-GGA SCAN) of K2PdBr3Cl at its PBEsol-relaxed geometry.

crystal system	orthorhombic
SG	Amm2 (38)
total moment	0.00	μB per formula unit

Unit cell a=4.226 b=7.235 c=7.235 alpha=87.04 beta=90.00 gamma=90.00
Atoms (fractional coordinates):
K 0.000 0.239 0.761
K 0.000 0.761 0.239
Pd 0.500 0.249 0.249
Br 0.500 0.006 0.494
Br 0.500 0.480 0.480
Br 0.500 0.494 0.006
Cl 0.500 0.029 0.029

No. 10
The following is a DFT calculation (meta-GGA SCAN) of AlPd3Pt at its PBEsol-relaxed geometry.

crystal system	cubic
SG	Pm-3m (221)
total moment	0.00	μB per formula unit

Unit cell a=4.786 b=4.786 c=4.786 alpha=90.00 beta=90.00 gamma=90.00
Atoms (fractional coordinates):
Al 0.000 0.000 0.000
Pd 0.000 0.500 0.500
Pd 0.500 0.000 0.500
Pd 0.500 0.500 0.000
Pt 0.500 0.500 0.500

No. 11
The following is a DFT calculation (meta-GGA SCAN) of NiIr2W at its PBEsol-relaxed geometry.

crystal system	monoclinic
SG	Cm (8)
excess energy over the best structure of this formula in the dataset	207	meV/atom
total moment	0.00	μB per formula unit

Unit cell a=4.649 b=4.649 c=4.632 alpha=99.59 beta=99.59 gamma=33.72
Atoms (fractional coordinates):
Ni 0.000 0.000 0.000
Ir 0.496 0.496 0.502
Ir 0.750 0.750 0.239
W 0.249 0.249 0.748

No. 12
The following is a DFT calculation (meta-GGA SCAN) of Co2AsP2 at its PBEsol-relaxed geometry.

crystal system	tetragonal
SG	I4/mmm (139)
total moment	0.00	μB per formula unit

Unit cell a=5.845 b=5.845 c=5.845 alpha=145.15 beta=145.15 gamma=50.11
Atoms (fractional coordinates):
Co 0.126 0.126 0.000
Co 0.874 0.874 0.000
As 0.500 0.500 0.000
P 0.250 0.750 0.500
P 0.750 0.250 0.500

no.,E_tot (eV/cell),N(E_F) (states/eV per cell)
1,-351.5,12.13
2,-304.5,7.57
3,-86.1,2.89
4,-284.4,7.98
5,-262.2,3.87
6,-94.7,2.60
7,-58.9,2.21
8,-288.0,1.47
9,-125.4,0.00
10,-171.2,6.36
11,-228.4,3.91
12,-75.2,3.78